Here is a crystal of MgTa2I relaxed with PBEsol from the Alexandria database. Energies are from meta-GGA SCAN.

The structure belongs to space group Fm-3m (No. 225); the cell edges are 6.728, 6.728 and 6.728 Å and the angles 90.00°, 90.00° and 90.00°. The asymmetric unit holds Mg at (0.000, 0.000, 0.000), Ta at (0.250, 0.250, 0.250) and I at (0.000, 0.000, 0.500).

For the total energy, the calculation gives -681.96 eV per cell. As for the theoretical density: 11.189 g/cm3. The value obtained for the magnetic moment is 0.0 μB/f.u.

---

Here is a crystal of MgTaTe2I relaxed with PBEsol from the Alexandria database. Energies are from meta-GGA SCAN.

The structure belongs to space group P4/mmm (No. 123); the cell edges are 5.293, 5.293 and 5.259 Å and the angles 90.00°, 90.00° and 90.00°. The asymmetric unit holds Mg at (0.000, 0.000, 0.000), Ta at (0.500, 0.500, 0.500), Te at (0.000, 0.500, 0.000) and I at (0.000, 0.000, 0.500).

For the total energy, the calculation gives -178.31 eV per cell. As for the theoretical density: 6.620 g/cm3. The value obtained for the magnetic moment is 2.3 μB/f.u.

---

Here is a crystal of MgTeI2 relaxed with PBEsol from the Alexandria database. Energies are from meta-GGA SCAN.

The structure belongs to space group Fm-3m (No. 225); the cell edges are 7.730, 7.730 and 7.730 Å and the angles 90.00°, 90.00° and 90.00°. The asymmetric unit holds Mg at (0.000, 0.000, 0.000), Te at (0.000, 0.000, 0.500) and I at (0.250, 0.250, 0.250).

For the total energy, the calculation gives -460.03 eV per cell. As for the theoretical density: 5.835 g/cm3. The value obtained for the magnetic moment is 0.0 μB/f.u.

---

Here is a crystal of MgTeI3 relaxed with PBEsol from the Alexandria database. Energies are from meta-GGA SCAN.

The structure belongs to space group Pm-3m (No. 221); the cell edges are 5.552, 5.552 and 5.552 Å and the angles 90.00°, 90.00° and 90.00°. The asymmetric unit holds Mg at (0.000, 0.000, 0.000), Te at (0.500, 0.500, 0.500) and I at (0.000, 0.000, 0.500).

For the total energy, the calculation gives -153.42 eV per cell. As for the theoretical density: 5.167 g/cm3. The value obtained for the magnetic moment is 2.8 μB/f.u.

---

Here is a crystal of MgTi3I relaxed with PBEsol from the Alexandria database. Energies are from meta-GGA SCAN.

The structure belongs to space group Pm-3m (No. 221); the cell edges are 4.812, 4.812 and 4.812 Å and the angles 90.00°, 90.00° and 90.00°. The asymmetric unit holds Mg at (0.000, 0.000, 0.000), Ti at (0.000, 0.000, 0.500) and I at (0.500, 0.500, 0.500).

For the total energy, the calculation gives -83.25 eV per cell. As for the theoretical density: 4.394 g/cm3. The value obtained for the magnetic moment is 0.0 μB/f.u.

---

Here is a crystal of MgZrWI2 relaxed with PBEsol from the Alexandria database. Energies are from meta-GGA SCAN.

The structure belongs to space group P4/mmm (No. 123); the cell edges are 5.401, 5.401 and 5.088 Å and the angles 90.00°, 90.00° and 90.00°. The asymmetric unit holds Mg at (0.000, 0.000, 0.000), Zr at (0.500, 0.500, 0.000), W at (0.500, 0.500, 0.500) and I at (0.000, 0.500, 0.500).

For the total energy, the calculation gives -173.75 eV per cell. As for the theoretical density: 6.189 g/cm3. The value obtained for the magnetic moment is 0.6 μB/f.u.

---

Here is a crystal of MnI2 relaxed with PBEsol from the Alexandria database. Energies are from meta-GGA SCAN.

The structure belongs to space group P-3m1 (No. 164); the cell edges are 4.0574, 4.0574 and 6.8796 Å and the angles 90.00°, 90.00° and 120.00°. The asymmetric unit holds Mn at (0.0000, 0.0000, 0.0000) and I at (0.3333, 0.6667, 0.2384).

For the total energy, the calculation gives -94.10 eV per cell. As for the theoretical density: 5.227 g/cm3. The value obtained for the magnetic moment is 5.0 μB/f.u.

---

Here is a crystal of MnMoI2 relaxed with PBEsol from the Alexandria database. Energies are from meta-GGA SCAN.

The structure belongs to space group Fm-3m (No. 225); the cell edges are 6.781, 6.781 and 6.781 Å and the angles 90.00°, 90.00° and 90.00°. The asymmetric unit holds Mn at (0.000, 0.000, 0.000), Mo at (0.000, 0.000, 0.500) and I at (0.250, 0.250, 0.250).

For the total energy, the calculation gives -493.09 eV per cell. As for the theoretical density: 8.621 g/cm3. The value obtained for the magnetic moment is 3.2 μB/f.u.

---

Here is a crystal of Mn2TlMoI relaxed with PBEsol from the Alexandria database. Energies are from meta-GGA SCAN.

The structure belongs to space group P4/mmm (No. 123); the cell edges are 4.685, 4.685 and 5.021 Å and the angles 90.00°, 90.00° and 90.00°. The asymmetric unit holds Mn at (0.000, 0.500, 0.000), Tl at (0.000, 0.000, 0.500), Mo at (0.500, 0.500, 0.500) and I at (0.500, 0.500, 0.000).

For the total energy, the calculation gives -173.68 eV per cell. As for the theoretical density: 8.094 g/cm3. The value obtained for the magnetic moment is 4.5 μB/f.u.

---

Here is a crystal of MnNbI2N relaxed with PBEsol from the Alexandria database. Energies are from meta-GGA SCAN.

The structure belongs to space group P4/mmm (No. 123); the cell edges are 5.617, 5.617 and 3.904 Å and the angles 90.00°, 90.00° and 90.00°. The asymmetric unit holds Mn at (0.000, 0.000, 0.000), Nb at (0.500, 0.500, 0.500), I at (0.000, 0.500, 0.500) and N at (0.500, 0.500, 0.000).

For the total energy, the calculation gives -133.37 eV per cell. As for the theoretical density: 5.603 g/cm3. The value obtained for the magnetic moment is 6.5 μB/f.u.

---

Here is a crystal of MnI2NO relaxed with PBEsol from the Alexandria database. Energies are from meta-GGA SCAN.

The structure belongs to space group P4/mmm (No. 123); the cell edges are 4.826, 4.826 and 3.740 Å and the angles 90.00°, 90.00° and 90.00°. The asymmetric unit holds Mn at (0.000, 0.000, 0.000), I at (0.000, 0.500, 0.500), N at (0.500, 0.500, 0.500) and O at (0.500, 0.500, 0.000).

As for the theoretical density: 6.457 g/cm3. The value obtained for the magnetic moment is 4.9 μB/f.u. The calculation puts the offset from the most stable computed form at 579 meV/atom.

---

Here is a crystal of MnI2NO relaxed with PBEsol from the Alexandria database. Energies are from meta-GGA SCAN.

The structure belongs to space group P4/mmm (No. 123); the cell edges are 5.544, 5.544 and 3.512 Å and the angles 90.00°, 90.00° and 90.00°. The asymmetric unit holds Mn at (0.000, 0.000, 0.000), I at (0.000, 0.500, 0.000), N at (0.500, 0.500, 0.500) and O at (0.000, 0.000, 0.500).

As for the theoretical density: 5.211 g/cm3. The value obtained for the magnetic moment is 6.2 μB/f.u. The calculation puts the offset from the most stable computed form at 0 meV/atom.

---

Here is a crystal of MnOsI2N relaxed with PBEsol from the Alexandria database. Energies are from meta-GGA SCAN.

The structure belongs to space group P4/mmm (No. 123); the cell edges are 5.498, 5.498 and 3.702 Å and the angles 90.00°, 90.00° and 90.00°. The asymmetric unit holds Mn at (0.000, 0.000, 0.000), Os at (0.500, 0.500, 0.500), I at (0.000, 0.500, 0.500) and N at (0.500, 0.500, 0.000).

For the total energy, the calculation gives -170.46 eV per cell. As for the theoretical density: 7.611 g/cm3. The value obtained for the magnetic moment is 5.2 μB/f.u.

---

Here is a crystal of MnOsIN2 relaxed with PBEsol from the Alexandria database. Energies are from meta-GGA SCAN.

The structure belongs to space group P4/mmm (No. 123); the cell edges are 3.637, 3.637 and 5.430 Å and the angles 90.00°, 90.00° and 90.00°. The asymmetric unit holds Mn at (0.000, 0.000, 0.000), Os at (0.500, 0.500, 0.500), I at (0.000, 0.000, 0.500) and N at (0.000, 0.500, 0.000).

For the total energy, the calculation gives -137.77 eV per cell. As for the theoretical density: 9.247 g/cm3. The value obtained for the magnetic moment is 1.1 μB/f.u.

---

Here is a crystal of MnPbIN2 relaxed with PBEsol from the Alexandria database. Energies are from meta-GGA SCAN.

The structure belongs to space group P4/mmm (No. 123); the cell edges are 4.232, 4.232 and 6.395 Å and the angles 90.00°, 90.00° and 90.00°. The asymmetric unit holds Mn at (0.000, 0.000, 0.000), Pb at (0.500, 0.500, 0.500), I at (0.500, 0.500, 0.000) and N at (0.000, 0.500, 0.500).

For the total energy, the calculation gives -141.70 eV per cell. As for the theoretical density: 6.046 g/cm3. The value obtained for the magnetic moment is 6.6 μB/f.u.

---

Here is a crystal of MnRuIN2 relaxed with PBEsol from the Alexandria database. Energies are from meta-GGA SCAN.

The structure belongs to space group P4/mmm (No. 123); the cell edges are 3.620, 3.620 and 5.429 Å and the angles 90.00°, 90.00° and 90.00°. The asymmetric unit holds Mn at (0.000, 0.000, 0.000), Ru at (0.500, 0.500, 0.500), I at (0.000, 0.000, 0.500) and N at (0.000, 0.500, 0.000).

For the total energy, the calculation gives -102.25 eV per cell. As for the theoretical density: 7.258 g/cm3. The value obtained for the magnetic moment is 0.0 μB/f.u.

---

Here is a crystal of MnSiI2N relaxed with PBEsol from the Alexandria database. Energies are from meta-GGA SCAN.

The structure belongs to space group P4/mmm (No. 123); the cell edges are 5.371, 5.371 and 4.513 Å and the angles 90.00°, 90.00° and 90.00°. The asymmetric unit holds Mn at (0.000, 0.000, 0.000), Si at (0.000, 0.000, 0.500), I at (0.000, 0.500, 0.000) and N at (0.500, 0.500, 0.500).

For the total energy, the calculation gives -105.49 eV per cell. As for the theoretical density: 4.475 g/cm3. The value obtained for the magnetic moment is 6.2 μB/f.u.

---

Here is a crystal of MnSnIN2 relaxed with PBEsol from the Alexandria database. Energies are from meta-GGA SCAN.

The structure belongs to space group P4/mmm (No. 123); the cell edges are 4.054, 4.054 and 6.234 Å and the angles 90.00°, 90.00° and 90.00°. The asymmetric unit holds Mn at (0.000, 0.000, 0.000), Sn at (0.500, 0.500, 0.500), I at (0.500, 0.500, 0.000) and N at (0.000, 0.500, 0.500).

For the total energy, the calculation gives -103.76 eV per cell. As for the theoretical density: 5.325 g/cm3. The value obtained for the magnetic moment is 6.5 μB/f.u.

---

Here is a crystal of MnTe2IN relaxed with PBEsol from the Alexandria database. Energies are from meta-GGA SCAN.

The structure belongs to space group P4/mmm (No. 123); the cell edges are 5.118, 5.118 and 5.461 Å and the angles 90.00°, 90.00° and 90.00°. The asymmetric unit holds Mn at (0.000, 0.000, 0.000), Te at (0.000, 0.500, 0.000), I at (0.000, 0.000, 0.500) and N at (0.500, 0.500, 0.500).

As for the theoretical density: 5.235 g/cm3. The value obtained for the magnetic moment is 6.3 μB/f.u. The calculation puts the offset from the most stable computed form at 649 meV/atom.

---

Here is a crystal of MnTe2IN relaxed with PBEsol from the Alexandria database. Energies are from meta-GGA SCAN.

The structure belongs to space group P4/mmm (No. 123); the cell edges are 5.432, 5.432 and 3.488 Å and the angles 90.00°, 90.00° and 90.00°. The asymmetric unit holds Mn at (0.000, 0.000, 0.000), Te at (0.000, 0.500, 0.000), I at (0.500, 0.500, 0.500) and N at (0.000, 0.000, 0.500).

As for the theoretical density: 7.277 g/cm3. The value obtained for the magnetic moment is 2.0 μB/f.u. The calculation puts the offset from the most stable computed form at 0 meV/atom.